No. 1
Density functional theory data (PBE) for TbOs after structural relaxation.

a b c (Å): 5.715 5.715 5.715
angles (deg): 90.00 90.00 90.00
Space group Fm-3m (No. 225)
One atom of each set of equivalent atoms:
1 Tb 0.000 0.000 0.000 [4 per cell]
2 Os 0.000 0.000 0.500 [4 per cell]

Energy of formation from the pure elements (meV per atom): 757

No. 2
Density functional theory data (PBE) for Ga2Hg after structural relaxation.

a b c (Å): 8.054 8.054 8.054
angles (deg): 90.00 90.00 90.00
Space group Fd-3m (No. 227, origin choice 2)
One atom of each set of equivalent atoms:
1 Ga 0.000 0.000 0.000 [16 per cell]
2 Hg 0.125 0.125 0.625 [8 per cell]

Energy above the lowest structure with this stoichiometry (meV/atom): 0

| no. | ρ (Mg/m³) |
| --- | --- |
| 1 | 12.4 |
| 2 | 8.6 |